*1*
# TbHoPtRh

Crystalline TbHoPtRh at its relaxed geometry (PBE, the Alexandria database).

It has space group F-43m (No. 216), with a = 6.9199 Å, b = 6.9199 Å, c = 6.9199 Å, α = 90.00°, β = 90.00° and γ = 90.00°. The asymmetric unit holds Tb at (0.0000, 0.0000, 0.0000), Ho at (0.0000, 0.0000, 0.5000), Pt at (0.2500, 0.2500, 0.7500) and Rh at (0.2500, 0.2500, 0.2500).

The value obtained for the spin magnetization is 0.0 μB per formula unit. For the density of states at the Fermi level, the calculation gives 5.69 states/eV per cell.



*2*
# TbHoPtRh

Crystalline TbHoPtRh at its relaxed geometry (PBE, the Alexandria database).

It has space group Amm2 (No. 38), with a = 4.3334 Å, b = 3.7820 Å, c = 10.6008 Å, α = 90.00°, β = 90.00° and γ = 90.00°. The asymmetric unit holds Tb at (0.0000, 0.0000, 0.0000), Ho at (0.5000, 0.0000, 0.7185), Pt at (0.5000, 0.0000, 0.4426) and Rh at (0.0000, 0.0000, 0.2669).

The value obtained for the spin magnetization is 0.0 μB per formula unit. For the density of states at the Fermi level, the calculation gives 4.09 states/eV per cell.



Least stable: *1*



*1*
# Ho3RuPt

Crystalline Ho3RuPt at its relaxed geometry (PBE, the Alexandria database).

It has space group P2_1/c (No. 14), with a = 8.5349 Å, b = 7.2961 Å, c = 7.9723 Å, α = 90.00°, β = 108.05° and γ = 90.00°. The asymmetric unit holds Ho at (0.0420, 0.0035, 0.2139), Ho at (0.2755, 0.6513, 0.1012), Ho at (0.3594, 0.1921, 0.9788), Ru at (0.0797, 0.1833, 0.5401) and Pt at (0.4079, 0.5380, 0.8000).

The value obtained for the spin magnetization is 0.0 μB per formula unit. For the density of states at the Fermi level, the calculation gives 13.70 states/eV per cell.



*2*
# Ho3RuPt

Crystalline Ho3RuPt at its relaxed geometry (PBE, the Alexandria database).

It has space group Pmmn (No. 59, origin choice 2), with a = 4.1291 Å, b = 6.7781 Å, c = 8.6776 Å, α = 90.00°, β = 90.00° and γ = 90.00°. The asymmetric unit holds Ho at (0.2500, 0.0102, 0.1639), Ho at (0.2500, 0.2500, 0.5612), Ru at (0.2500, 0.2500, 0.8829) and Pt at (0.2500, 0.7500, 0.6605).

The value obtained for the spin magnetization is 0.0 μB per formula unit. For the density of states at the Fermi level, the calculation gives 6.02 states/eV per cell.



Least stable: *2*



*1*
# Ho8Ru2Pt

Crystalline Ho8Ru2Pt at its relaxed geometry (PBE, the Alexandria database).

It has space group Cm (No. 8), with a = 8.3327 Å, b = 12.5391 Å, c = 5.8837 Å, α = 90.00°, β = 108.98° and γ = 90.00°. The asymmetric unit holds Ho at (0.0000, 0.0000, 0.0000), Ho at (0.0680, 0.3691, 0.7892), Ho at (0.1511, 0.1313, 0.5959), Ho at (0.2280, 0.5000, 0.3804), Ho at (0.3636, 0.2161, 0.1885), Ru at (0.3584, 0.3105, 0.6899) and Pt at (0.3659, 0.0000, 0.0317).

The value obtained for the spin magnetization is 0.0 μB per formula unit. For the density of states at the Fermi level, the calculation gives 20.40 states/eV per cell.



*2*
# Ho8Ru2Pt

Crystalline Ho8Ru2Pt at its relaxed geometry (PBE, the Alexandria database).

It has space group C2/m (No. 12), with a = 17.3832 Å, b = 4.8494 Å, c = 6.8387 Å, α = 90.00°, β = 107.33° and γ = 90.00°. The asymmetric unit holds Ho at (0.0325, 0.0000, 0.2858), Ho at (0.0963, 0.5000, 0.9563), Ho at (0.1694, 0.5000, 0.4657), Ho at (0.2050, 0.0000, 0.8157), Ru at (0.1857, 0.0000, 0.2032) and Pt at (0.0000, 0.5000, 0.5000).

The value obtained for the spin magnetization is 0.0 μB per formula unit. For the density of states at the Fermi level, the calculation gives 22.06 states/eV per cell.



Least stable: *1*